## La2Hg2O (PBE-GGA)

Data for crystalline La2Hg2O at its relaxed geometry.

Lattice parameters (Å, degrees): 7.4679 7.4679 4.7640 90.00 90.00 90.00
Fractional coordinates of all 10 atoms:
La 0.1609 0.3391 0.0000
La 0.3391 0.8391 0.0000
La 0.6609 0.1609 0.0000
La 0.8391 0.6609 0.0000
Hg 0.1425 0.6425 0.5000
Hg 0.3575 0.1425 0.5000
Hg 0.6425 0.8575 0.5000
Hg 0.8575 0.3575 0.5000
O 0.0000 0.0000 0.5000
O 0.5000 0.5000 0.5000

Computed properties:
Energy ... -34.411 eV per cell
Total magnetic moment ... 0.0 Bohr magnetons per cell
Symmetry ... P4/mbm, No. 127
Volume ... 265.7 Å³/cell
Relative energy among the computed polymorphs ... 808 meV/atom
Uncorrected formation energy ... -1.79 eV/f.u.